No. 1
# K2HoSbO6

A relaxed structure of K2HoSbO6 (PBE, Alexandria).

It has space group Fm-3m (No. 225), with a = 8.485 Å, b = 8.485 Å, c = 8.485 Å, α = 90.00°, β = 90.00° and γ = 90.00°. The inequivalent atoms are K at (0.250, 0.250, 0.250), Ho at (0.000, 0.000, 0.000), Sb at (0.000, 0.000, 0.500) and O at (0.000, 0.000, 0.265).

Its magnetic moment is 0.204 μB per atom. The calculation puts the total energy at -5.912 eV per atom. The formation energy (no corrections) comes out at -1.847 eV/atom.


No. 2
# Cs2Ba2O3

A relaxed structure of Cs2Ba2O3 (PBE, Alexandria).

It has space group C2/m (No. 12), with a = 13.509 Å, b = 3.967 Å, c = 7.538 Å, α = 90.00°, β = 95.81° and γ = 90.00°. The inequivalent atoms are Cs at (0.136, 0.000, 0.373), Ba at (0.131, 0.500, 0.920), O at (0.000, 0.000, 0.000) and O at (0.249, 0.000, 0.792).

Its magnetic moment is 0.000 μB per atom. The calculation puts the total energy at -4.712 eV per atom. The offset from the most stable computed form comes out at 17.3 meV/atom. The formation energy (no corrections) comes out at -1.794 eV/atom.